Entry 1:
! KIr3I, relaxed, DFT PBE; values from VASP
! Energy above the lowest structure with this stoichiometry in meV/atom: 0
! E_form (uncorrected) in kJ/mol of atoms: 158.9
! V in Å³/f.u.: 123.01
&SYSTEM
  ibrav = 0, nat = 5, ntyp = 3
/
ATOMIC_SPECIES
I 126.90 I.upf
K 39.10 K.upf
Ir 192.22 Ir.upf
CELL_PARAMETERS angstrom
-3.228 1.305 -3.551
-3.233 -3.377 1.697
-1.966 3.410 3.040
ATOMIC_POSITIONS crystal
I 0.000 0.000 0.000
K 0.500 0.500 0.500
Ir 0.000 0.500 0.000
Ir 0.000 0.000 0.500
Ir 0.500 0.000 0.000

Entry 2:
! Cd2GeIr2, relaxed, DFT PBE; values from VASP
! V in Å³/f.u.: 90.94
! DFT formation energy in eV per atom: -0.056
&SYSTEM
  ibrav = 0, nat = 10, ntyp = 3
/
ATOMIC_SPECIES
Ge 72.64 Ge.upf
Ir 192.22 Ir.upf
Cd 112.41 Cd.upf
CELL_PARAMETERS angstrom
-3.141 -4.183 3.583
0.349 -4.268 -4.676
3.922 -1.512 1.673
ATOMIC_POSITIONS crystal
Ge 0.000 0.000 0.000
Ge 0.500 0.500 0.000
Ir 0.353 0.853 0.000
Ir 0.853 0.647 0.000
Ir 0.647 0.147 0.000
Ir 0.147 0.353 0.000
Cd 0.162 0.662 0.500
Cd 0.662 0.838 0.500
Cd 0.838 0.338 0.500
Cd 0.338 0.162 0.500

Entry 3:
! SrMn2Tc, relaxed, DFT PBE; values from VASP
! Energy above the lowest structure with this stoichiometry in meV/atom: 105
! V in Å³/f.u.: 78.48
! DFT formation energy in eV per atom: 0.509
&SYSTEM
  ibrav = 0, nat = 4, ntyp = 3
/
ATOMIC_SPECIES
Mn 54.94 Mn.upf
Sr 87.62 Sr.upf
Tc 98.00 Tc.upf
CELL_PARAMETERS angstrom
-1.575 0.499 2.725
-1.565 -2.746 -0.402
5.546 -3.728 3.886
ATOMIC_POSITIONS crystal
Mn 0.000 0.000 0.926
Mn 0.000 0.000 0.574
Sr 0.500 0.500 0.250
Tc 0.500 0.500 0.750

Entry 4:
! AcLuThSn, relaxed, DFT PBE; values from VASP
! V in Å³/f.u.: 123.19
! DFT formation energy in eV per atom: -0.046
&SYSTEM
  ibrav = 0, nat = 4, ntyp = 4
/
ATOMIC_SPECIES
Ac 227.00 Ac.upf
Lu 174.97 Lu.upf
Sn 118.71 Sn.upf
Th 232.04 Th.upf
CELL_PARAMETERS angstrom
-3.203 -2.788 3.628
-3.570 -3.883 -1.837
0.985 -5.403 1.016
ATOMIC_POSITIONS crystal
Ac 0.250 0.250 0.250
Lu 0.000 0.000 0.000
Sn 0.750 0.750 0.750
Th 0.500 0.500 0.500

Entry 5:
! K3U2S8, relaxed, DFT PBE; values from VASP
! E_form (uncorrected) in kJ/mol of atoms: -95.9
! V in Å³/f.u.: 343.33
&SYSTEM
  ibrav = 0, nat = 13, ntyp = 3
/
ATOMIC_SPECIES
K 39.10 K.upf
U 238.03 U.upf
S 32.06 S.upf
CELL_PARAMETERS angstrom
5.446 0.000 0.000
0.000 7.362 -4.020
0.000 -0.079 8.606
ATOMIC_POSITIONS crystal
K 0.500 0.000 0.000
K 0.000 0.303 0.000
K 0.000 0.697 0.000
U 0.500 0.239 0.479
U 0.500 0.761 0.521
S 0.000 0.742 0.484
S 0.000 0.258 0.516
S 0.000 0.120 0.240
S 0.000 0.880 0.760
S 0.500 0.583 0.721
S 0.500 0.138 0.721
S 0.500 0.862 0.279
S 0.500 0.417 0.279

Entry 6:
! RbCu3I, relaxed, DFT PBE; values from VASP
! Energy above the lowest structure with this stoichiometry in meV/atom: 0
! E_form (uncorrected) in kJ/mol of atoms: 75.0
! V in Å³/f.u.: 151.44
&SYSTEM
  ibrav = 0, nat = 5, ntyp = 3
/
ATOMIC_SPECIES
I 126.90 I.upf
Cu 63.55 Cu.upf
Rb 85.47 Rb.upf
CELL_PARAMETERS angstrom
-0.600 5.169 1.156
-5.251 -0.733 0.552
0.694 -1.076 5.174
ATOMIC_POSITIONS crystal
I 0.000 0.000 0.000
Cu 0.000 0.500 0.000
Cu 0.000 0.000 0.500
Cu 0.500 0.000 0.000
Rb 0.500 0.500 0.500

Entry 7:
! Dy4TlSb2, relaxed, DFT PBE; values from VASP
! E_form (uncorrected) in kJ/mol of atoms: -52.6
! V in Å³/f.u.: 200.72
&SYSTEM
  ibrav = 0, nat = 14, ntyp = 3
/
ATOMIC_SPECIES
Dy 162.50 Dy.upf
Tl 204.38 Tl.upf
Sb 121.76 Sb.upf
CELL_PARAMETERS angstrom
-0.405 -5.687 1.934
6.457 -0.914 -1.334
2.486 5.066 8.564
ATOMIC_POSITIONS crystal
Dy 0.536 0.508 0.256
Dy 0.015 0.750 0.842
Dy 0.985 0.250 0.158
Dy 0.536 0.992 0.256
Dy 0.857 0.250 0.537
Dy 0.464 0.008 0.744
Dy 0.464 0.492 0.744
Dy 0.143 0.750 0.463
Tl 0.052 0.750 0.167
Tl 0.948 0.250 0.833
Sb 0.576 0.750 0.997
Sb 0.424 0.250 0.003
Sb 0.311 0.250 0.458
Sb 0.689 0.750 0.542

Entry 8:
! MoPb2Br, relaxed, DFT PBE; values from VASP
! Energy above the lowest structure with this stoichiometry in meV/atom: 465
! E_form (uncorrected) in kJ/mol of atoms: 68.9
! V in Å³/f.u.: 111.23
&SYSTEM
  ibrav = 0, nat = 4, ntyp = 3
/
ATOMIC_SPECIES
Pb 207.20 Pb.upf
Mo 95.94 Mo.upf
Br 79.90 Br.upf
CELL_PARAMETERS angstrom
6.821 0.419 0.000
3.841 5.652 0.000
-5.331 -3.035 3.011
ATOMIC_POSITIONS crystal
Pb 0.000 0.000 0.000
Pb 0.250 0.750 0.500
Mo 0.750 0.250 0.500
Br 0.500 0.500 0.000